Entry 1:
This record from the Alexandria database describes SbN2Cl at its PBEsol-relaxed geometry. The functional is meta-GGA SCAN.

Summary:
**Magnetization**: 0.00 μB/f.u.
**Calculated density**: 5.29 g cm⁻³

Geometry as POSCAR:
```
SbN2Cl
1.0
1.588 0.917 6.656
-1.588 0.917 6.656
0.000 -1.834 6.656
Sb N Cl
1 2 1
direct
0.000 0.000 0.000
0.111 0.111 0.111
0.889 0.889 0.889
0.500 0.500 0.500
```

---

Entry 2:
This record from the Alexandria database describes Sb2TeNCl at its PBEsol-relaxed geometry. The functional is meta-GGA SCAN.

Summary:
**Magnetization**: 1.71 μB/f.u.
**Calculated density**: 4.69 g cm⁻³

Geometry as POSCAR:
```
Sb2TeNCl
1.0
5.294 0.000 0.000
0.000 5.294 0.000
0.000 0.000 5.314
Sb Te N Cl
2 1 1 1
direct
0.000 0.500 0.000
0.500 0.000 0.000
0.000 0.000 0.500
0.500 0.500 0.500
0.000 0.000 0.000
```

---

Entry 3:
This record from the Alexandria database describes Sc2NCl2 at its PBEsol-relaxed geometry. The functional is meta-GGA SCAN.

Summary:
**Magnetization**: 0.00 μB/f.u.
**Calculated density**: 3.31 g cm⁻³

Geometry as POSCAR:
```
Sc2NCl2
1.0
3.322 0.000 0.000
-1.661 2.877 0.000
0.000 0.000 9.172
Sc N Cl
2 1 2
direct
0.333 0.667 0.371
0.667 0.333 0.629
0.000 0.000 0.500
0.333 0.667 0.811
0.667 0.333 0.189
```

---

Number 1: uncorrected formation energy 2109 meV/atom. Number 2: uncorrected formation energy 1768 meV/atom. Number 3: uncorrected formation energy -2236 meV/atom.